(1)
## La3AgPt (GGA-PBE)

Data for an optimized crystal structure of La3AgPt.

Computed properties:
calculated total energy	-5.29	eV/atom

abc: 5.9118 6.7538 8.4630
angles: 99.10 102.68 112.36
Fractional coordinates of all 10 atoms:
La 0.0656 0.1956 0.3222
La 0.2947 0.8139 0.1183
La 0.3190 0.4526 0.7451
La 0.6810 0.5474 0.2549
La 0.7053 0.1861 0.8817
La 0.9344 0.8044 0.6778
Ag 0.3485 0.7663 0.4877
Ag 0.6515 0.2337 0.5123
Pt 0.2348 0.1903 0.9900
Pt 0.7652 0.8097 0.0100

(2)
## La2ScInO (GGA-PBE)

Data for an optimized crystal structure of La2ScInO.

Computed properties:
energy relative to the elements, uncorrected	-1.40	eV/atom

abc: 5.1554 5.1554 4.4311
angles: 90.00 90.00 90.00
Fractional coordinates of all 5 atoms:
La 0.0000 0.5000 0.0000
La 0.5000 0.0000 0.0000
Sc 0.0000 0.0000 0.5000
In 0.5000 0.5000 0.5000
O 0.0000 0.0000 0.0000

(3)
## MnV2HgS (GGA-PBE)

Data for an optimized crystal structure of MnV2HgS.

Computed properties:
energy relative to the elements, uncorrected	1.61	eV/atom

abc: 5.1829 5.1829 4.8526
angles: 90.00 90.00 90.00
Fractional coordinates of all 5 atoms:
Mn 0.0000 0.0000 0.0000
V 0.0000 0.5000 0.5000
V 0.5000 0.0000 0.5000
Hg 0.5000 0.5000 0.5000
S 0.5000 0.5000 0.0000

no.,DOS(E_F) (states/eV/cell)
1,10.17
2,4.73
3,8.61